1.
Below is a relaxed RbCo2BiPd crystal, with properties calculated at the GGA-PBEsol level.

ΔH_f (0 K): 0.973 eV/atom
Total DFT energy (no corrections): -21.88 eV for the cell shown
Space group: No. 123
Density of states at the Fermi level: 7.76 states/eV/f.u.
Crystal system: tetragonal

Cell: 4.912 4.912 5.125 Å, 90.00 90.00 90.00°
Atoms (fractional coordinates):
Co: 0.000 0.500 0.000
Rb: 0.500 0.500 0.500
Co: 0.500 0.000 0.000
Bi: 0.000 0.000 0.500
Pd: 0.000 0.000 0.000

2.
Below is a relaxed SrCoBi2Pd crystal, with properties calculated at the GGA-PBEsol level.

ΔH_f (0 K): 0.548 eV/atom
Total DFT energy (no corrections): -21.37 eV for the cell shown
Space group: No. 123
Density of states at the Fermi level: 6.92 states/eV/f.u.
Crystal system: tetragonal

Cell: 5.258 5.258 5.422 Å, 90.00 90.00 90.00°
Atoms (fractional coordinates):
Co: 0.500 0.500 0.500
Bi: 0.500 0.000 0.000
Bi: 0.000 0.500 0.000
Pd: 0.000 0.000 0.000
Sr: 0.000 0.000 0.500

3.
Below is a relaxed Ta2CoBiPt crystal, with properties calculated at the GGA-PBEsol level.

ΔH_f (0 K): 2.541 eV/atom
Total DFT energy (no corrections): -31.38 eV for the cell shown
Space group: No. 123
Density of states at the Fermi level: 5.73 states/eV/f.u.
Crystal system: tetragonal

Cell: 4.848 5.103 5.103 Å, 90.00 90.00 90.00°
Atoms (fractional coordinates):
Pt: 0.500 0.000 0.000
Co: 0.500 0.500 0.500
Ta: 0.000 0.500 0.000
Ta: 0.000 0.000 0.500
Bi: 0.000 0.000 0.000

4.
Below is a relaxed RbCoBiW2 crystal, with properties calculated at the GGA-PBEsol level.

ΔH_f (0 K): 1.746 eV/atom
Total DFT energy (no corrections): -31.93 eV for the cell shown
Space group: No. 123
Density of states at the Fermi level: 7.01 states/eV/f.u.
Crystal system: tetragonal

Cell: 4.556 4.556 5.417 Å, 90.00 90.00 90.00°
Atoms (fractional coordinates):
Co: 0.000 0.000 0.000
W: 0.000 0.500 0.000
W: 0.500 0.000 0.000
Rb: 0.000 0.000 0.500
Bi: 0.500 0.500 0.500

Look up the density of states at the Fermi level of the third one. 5.73 states/eV/f.u.

Among the records above, which one has the highest density of states at the Fermi level? RbCo2BiPd

The lowest total DFT energy (no corrections) belongs to which entry? RbCoBiW2

Look up the density of states at the Fermi level of the fourth one. 7.01 states/eV/f.u.